# PdPbSO, optimized geometry, DFT PBE-GGA
# ΔE to the lowest computed polymorph in meV per atom: 171
data_PdPbSO
_chemical_formula_sum 'Pd4 Pb4 S4 O4'
_cell_length_a 7.546
_cell_length_b 3.391
_cell_length_c 12.072
_cell_angle_alpha 90.00
_cell_angle_beta 90.00
_cell_angle_gamma 90.00
_space_group_name_H-M_alt 'P n m a'
_space_group_IT_number 62
loop_
_space_group_symop_operation_xyz
'x,y,z'
'-x,-y,-z'
'-x+1/2,-y,z+1/2'
'x+1/2,y,-z+1/2'
'x+1/2,-y+1/2,-z+1/2'
'-x+1/2,y+1/2,z+1/2'
'-x,y+1/2,-z'
'x,-y+1/2,z'
loop_
_atom_site_label
_atom_site_fract_x
_atom_site_fract_y
_atom_site_fract_z
Pd1 0.185 0.250 0.071
Pb1 0.008 0.750 0.338
S1 0.195 0.750 0.942
O1 0.187 0.750 0.184